Record 1
This record from Alexandria via LeMat-Bulk describes Ce2AlIn after structural relaxation. The functional is GGA-PBE.

Results
E_form ... -14.3 kJ/mol of atoms
Energy ... -4.74 eV/atom
Fermi-level density of states ... 7.9 states/eV/f.u.

Cell lengths 3.180, 3.180, 11.249 Å; angles 81.87, 81.87, 60.00 degrees
Fractional coordinates of all 4 atoms:
Al 0.000 0.000 0.000
Ce 0.746 0.746 0.761
Ce 0.254 0.254 0.239
In 0.500 0.500 0.500



Record 2
This record from Alexandria via LeMat-Bulk describes LiCeAlIn after structural relaxation. The functional is GGA-PBE.

Results
E_form ... -20.8 kJ/mol of atoms
Energy ... -3.80 eV/atom
Fermi-level density of states ... 6.8 states/eV/f.u.

Cell lengths 4.942, 4.942, 4.942 Å; angles 60.00, 60.00, 60.00 degrees
Fractional coordinates of all 4 atoms:
Li 0.500 0.500 0.500
Al 0.000 0.000 0.000
Ce 0.750 0.750 0.750
In 0.250 0.250 0.250



Record 3
This record from Alexandria via LeMat-Bulk describes CeLuAlIn after structural relaxation. The functional is GGA-PBE.

Results
E_form ... -31.9 kJ/mol of atoms
Energy ... -4.57 eV/atom
Fermi-level density of states ... 6.2 states/eV/f.u.

Cell lengths 5.228, 5.228, 5.228 Å; angles 60.00, 60.00, 60.00 degrees
Fractional coordinates of all 4 atoms:
Lu 0.000 0.000 0.000
Al 0.750 0.750 0.750
Ce 0.500 0.500 0.500
In 0.250 0.250 0.250



Record 4
This record from Alexandria via LeMat-Bulk describes CeMgAlIn after structural relaxation. The functional is GGA-PBE.

Results
E_form ... -22.1 kJ/mol of atoms
Energy ... -3.73 eV/atom
Fermi-level density of states ... 4.6 states/eV/f.u.

Cell lengths 5.111, 5.111, 5.111 Å; angles 60.00, 60.00, 60.00 degrees
Fractional coordinates of all 4 atoms:
Mg 0.000 0.000 0.000
Al 0.250 0.250 0.250
Ce 0.500 0.500 0.500
In 0.750 0.750 0.750



Record 5
This record from Alexandria via LeMat-Bulk describes CeNdAlIn after structural relaxation. The functional is GGA-PBE.

Results
E_form ... -31.5 kJ/mol of atoms
Energy ... -4.62 eV/atom
Fermi-level density of states ... 7.3 states/eV/f.u.

Cell lengths 5.368, 5.368, 5.368 Å; angles 60.00, 60.00, 60.00 degrees
Fractional coordinates of all 4 atoms:
Nd 0.500 0.500 0.500
Al 0.250 0.250 0.250
Ce 0.000 0.000 0.000
In 0.750 0.750 0.750



Record 6
This record from Alexandria via LeMat-Bulk describes CeAlInPd3 after structural relaxation. The functional is GGA-PBE.

Results
E_form ... -47.6 kJ/mol of atoms
Energy ... -5.16 eV/atom
Fermi-level density of states ... 7.9 states/eV/f.u.

Cell lengths 5.891, 6.995, 7.072 Å; angles 119.64, 90.00, 90.00 degrees
Fractional coordinates of all 12 atoms:
Ce 0.750 0.310 0.620
Ce 0.250 0.690 0.380
Al 0.250 0.374 0.748
Al 0.750 0.626 0.252
In 0.250 0.942 0.884
In 0.750 0.058 0.116
Pd 0.250 0.173 0.347
Pd 0.000 0.303 0.000
Pd 0.500 0.697 0.000
Pd 0.500 0.303 0.000
Pd 0.000 0.697 0.000
Pd 0.750 0.827 0.653



Record 7
This record from Alexandria via LeMat-Bulk describes Ce2Al3InPd4 after structural relaxation. The functional is GGA-PBE.

Results
E_form ... -71.3 kJ/mol of atoms
Energy ... -5.40 eV/atom
Fermi-level density of states ... 14.5 states/eV/f.u.

Cell lengths 4.327, 4.327, 10.692 Å; angles 90.00, 90.00, 90.00 degrees
Fractional coordinates of all 10 atoms:
Ce 0.500 0.000 0.245
Ce 0.000 0.500 0.755
Al 0.000 0.000 0.500
Al 0.500 0.000 0.880
Al 0.000 0.500 0.120
In 0.500 0.500 0.500
Pd 0.500 0.500 0.000
Pd 0.000 0.000 0.000
Pd 0.500 0.000 0.649
Pd 0.000 0.500 0.351



Record 8
This record from Alexandria via LeMat-Bulk describes Ce2AlInPd6 after structural relaxation. The functional is GGA-PBE.

Results
E_form ... -55.3 kJ/mol of atoms
Energy ... -5.52 eV/atom
Fermi-level density of states ... 15.6 states/eV/f.u.

Cell lengths 8.824, 5.667, 5.665 Å; angles 59.97, 71.22, 89.99 degrees
Fractional coordinates of all 10 atoms:
Ce 0.369 0.790 0.421
Ce 0.631 0.210 0.579
Al 0.500 0.500 0.000
In 0.000 0.000 0.000
Pd 0.272 0.761 0.985
Pd 0.728 0.746 0.016
Pd 0.273 0.255 0.490
Pd 0.728 0.239 0.015
Pd 0.272 0.254 0.984
Pd 0.727 0.745 0.510



Record 9
This record from Alexandria via LeMat-Bulk describes CePrAlIn after structural relaxation. The functional is GGA-PBE.

Results
E_form ... -30.8 kJ/mol of atoms
Energy ... -4.62 eV/atom
Fermi-level density of states ... 7.3 states/eV/f.u.

Cell lengths 5.389, 5.389, 5.389 Å; angles 60.00, 60.00, 60.00 degrees
Fractional coordinates of all 4 atoms:
Pr 0.500 0.500 0.500
Al 0.750 0.750 0.750
Ce 0.000 0.000 0.000
In 0.250 0.250 0.250



Record 10
This record from Alexandria via LeMat-Bulk describes Ce2Al4InPt3 after structural relaxation. The functional is GGA-PBE.

Results
E_form ... -86.7 kJ/mol of atoms
Energy ... -5.67 eV/atom
Fermi-level density of states ... 13.0 states/eV/f.u.

Cell lengths 4.287, 4.287, 10.803 Å; angles 90.00, 90.00, 90.00 degrees
Fractional coordinates of all 10 atoms:
Ce 0.500 0.000 0.239
Ce 0.000 0.500 0.761
Al 0.500 0.500 0.000
Al 0.000 0.000 0.000
Al 0.500 0.000 0.647
Al 0.000 0.500 0.353
In 0.500 0.500 0.500
Pt 0.000 0.000 0.500
Pt 0.500 0.000 0.873
Pt 0.000 0.500 0.127



Record 11
This record from Alexandria via LeMat-Bulk describes CeSmAlIn after structural relaxation. The functional is GGA-PBE.

Results
E_form ... -32.4 kJ/mol of atoms
Energy ... -4.62 eV/atom
Fermi-level density of states ... 7.0 states/eV/f.u.

Cell lengths 5.334, 5.334, 5.334 Å; angles 60.00, 60.00, 60.00 degrees
Fractional coordinates of all 4 atoms:
Al 0.750 0.750 0.750
Ce 0.000 0.000 0.000
Sm 0.500 0.500 0.500
In 0.250 0.250 0.250



Record 12
This record from Alexandria via LeMat-Bulk describes CeAlInSn after structural relaxation. The functional is GGA-PBE.

Results
E_form ... -40.4 kJ/mol of atoms
Energy ... -4.52 eV/atom
Fermi-level density of states ... 5.4 states/eV/f.u.

Cell lengths 4.605, 4.522, 4.651 Å; angles 90.00, 90.00, 90.00 degrees
Fractional coordinates of all 4 atoms:
Ce 0.500 0.500 0.000
Al 0.500 0.000 0.500
In 0.000 0.500 0.500
Sn 0.000 0.000 0.000



- What is the formula in the first record?
  Ce2AlIn



- Which of these has the highest Fermi-level density of states?
  Ce2AlInPd6



- Among the records above, which one has the lowest E_form?
  Ce2Al4InPt3